[1]
The following is a PBE calculation of crystalline Pm5Dy12Ho2 at its relaxed geometry, from Alexandria via LeMat-Bulk.

Magnetic moment ... 0.000 μB per atom
Space-group type ... C2/m (12)
D(E_F) ... 1.50 states/eV/atom
Relative energy among the computed polymorphs ... 198 meV/atom

a = 9.984 Å, b = 9.984 Å, c = 8.661 Å
α = 112.76°, β = 112.76°, γ = 54.05°
Fractional positions:
Pm  0.000  0.000  0.000
Pm  0.237  0.237  0.792
Pm  0.289  0.289  0.276
Pm  0.711  0.711  0.724
Pm  0.763  0.763  0.208
Dy  0.040  0.669  0.595
Dy  0.046  0.046  0.682
Dy  0.148  0.597  0.044
Dy  0.331  0.960  0.405
Dy  0.403  0.852  0.956
Dy  0.439  0.439  0.784
Dy  0.561  0.561  0.216
Dy  0.597  0.148  0.044
Dy  0.669  0.040  0.595
Dy  0.852  0.403  0.956
Dy  0.954  0.954  0.318
Dy  0.960  0.331  0.405
Ho  0.327  0.673  0.500
Ho  0.673  0.327  0.500


[2]
The following is a PBE calculation of crystalline Pm4DyHo4 at its relaxed geometry, from Alexandria via LeMat-Bulk.

Magnetic moment ... 0.000 μB per atom
Space-group type ... C2/m (12)
D(E_F) ... 1.67 states/eV/atom
Relative energy among the computed polymorphs ... 86 meV/atom

a = 8.874 Å, b = 8.874 Å, c = 6.821 Å
α = 111.90°, β = 111.90°, γ = 36.74°
Fractional positions:
Pm  0.133  0.133  0.460
Pm  0.281  0.281  0.214
Pm  0.719  0.719  0.786
Pm  0.867  0.867  0.540
Dy  0.500  0.500  0.500
Ho  0.072  0.072  0.877
Ho  0.375  0.375  0.823
Ho  0.625  0.625  0.177
Ho  0.928  0.928  0.123


[3]
The following is a PBE calculation of crystalline Pm3Dy2Ho4 at its relaxed geometry, from Alexandria via LeMat-Bulk.

Magnetic moment ... 0.000 μB per atom
Space-group type ... C2/m (12)
Uncorrected energy ... -4.622 eV per atom
D(E_F) ... 1.39 states/eV/atom

a = 7.985 Å, b = 7.985 Å, c = 7.979 Å
α = 107.47°, β = 107.47°, γ = 36.84°
Fractional positions:
Pm  0.000  0.000  0.000
Pm  0.111  0.111  0.666
Pm  0.889  0.889  0.334
Dy  0.333  0.333  0.999
Dy  0.667  0.667  0.001
Ho  0.222  0.222  0.333
Ho  0.443  0.443  0.666
Ho  0.557  0.557  0.334
Ho  0.778  0.778  0.667


[4]
The following is a PBE calculation of crystalline Pm6Dy3Ho at its relaxed geometry, from Alexandria via LeMat-Bulk.

Magnetic moment ... 0.000 μB per atom
Space-group type ... Cmc2_1 (36)
D(E_F) ... 1.37 states/eV/atom
Relative energy among the computed polymorphs ... 18 meV/atom

a = 11.081 Å, b = 11.081 Å, c = 6.342 Å
α = 90.00°, β = 90.00°, γ = 120.66°
Fractional positions:
Pm  0.037  0.963  0.500
Pm  0.057  0.477  0.025
Pm  0.279  0.721  0.739
Pm  0.289  0.374  0.839
Pm  0.374  0.289  0.339
Pm  0.477  0.057  0.525
Pm  0.523  0.943  0.025
Pm  0.626  0.711  0.839
Pm  0.711  0.626  0.339
Pm  0.721  0.279  0.239
Pm  0.943  0.523  0.525
Pm  0.963  0.037  0.000
Dy  0.055  0.284  0.422
Dy  0.284  0.055  0.922
Dy  0.386  0.614  0.308
Dy  0.614  0.386  0.808
Dy  0.716  0.945  0.422
Dy  0.945  0.716  0.922
Ho  0.196  0.804  0.271
Ho  0.804  0.196  0.771


[5]
The following is a PBE calculation of crystalline Pm2Dy6Ho5 at its relaxed geometry, from Alexandria via LeMat-Bulk.

Magnetic moment ... 0.000 μB per atom
Space-group type ... Pbam (55)
Uncorrected energy ... -4.517 eV per atom
D(E_F) ... 1.24 states/eV/atom

a = 11.656 Å, b = 20.148 Å, c = 3.578 Å
α = 90.00°, β = 90.00°, γ = 90.00°
Fractional positions:
Pm  0.168  0.214  0.000
Pm  0.332  0.714  0.000
Pm  0.668  0.286  0.000
Pm  0.832  0.786  0.000
Dy  0.059  0.921  0.000
Dy  0.080  0.633  0.000
Dy  0.177  0.371  0.500
Dy  0.323  0.871  0.500
Dy  0.420  0.133  0.000
Dy  0.441  0.421  0.000
Dy  0.559  0.579  0.000
Dy  0.580  0.867  0.000
Dy  0.677  0.129  0.500
Dy  0.823  0.629  0.500
Dy  0.920  0.367  0.000
Dy  0.941  0.079  0.000
Ho  0.000  0.500  0.500
Ho  0.092  0.777  0.500
Ho  0.199  0.051  0.500
Ho  0.301  0.551  0.500
Ho  0.408  0.277  0.500
Ho  0.500  0.000  0.500
Ho  0.592  0.723  0.500
Ho  0.699  0.449  0.500
Ho  0.801  0.949  0.500
Ho  0.908  0.223  0.500


[6]
The following is a PBE calculation of crystalline PmDy5Ho4 at its relaxed geometry, from Alexandria via LeMat-Bulk.

Magnetic moment ... 0.000 μB per atom
Space-group type ... I4 (79)
Uncorrected energy ... -4.304 eV per atom
D(E_F) ... 1.45 states/eV/atom

a = 7.844 Å, b = 7.844 Å, c = 7.844 Å
α = 99.22°, β = 99.22°, γ = 132.80°
Fractional positions:
Pm  0.000  0.000  0.000
Dy  0.456  0.456  0.000
Dy  0.494  0.873  0.912
Dy  0.582  0.494  0.621
Dy  0.873  0.961  0.379
Dy  0.961  0.582  0.088
Ho  0.181  0.882  0.602
Ho  0.280  0.579  0.398
Ho  0.579  0.181  0.299
Ho  0.882  0.280  0.701


[7]
The following is a PBE calculation of crystalline Pm11Dy4Ho9 at its relaxed geometry, from Alexandria via LeMat-Bulk.

Magnetic moment ... 0.000 μB per atom
Space-group type ... Cmmm (65)
Uncorrected energy ... -4.606 eV per atom
D(E_F) ... 1.27 states/eV/atom

a = 15.333 Å, b = 15.333 Å, c = 3.654 Å
α = 90.00°, β = 90.00°, γ = 113.11°
Fractional positions:
Pm  0.000  0.000  0.000
Pm  0.043  0.406  0.000
Pm  0.160  0.840  0.000
Pm  0.292  0.292  0.000
Pm  0.368  0.632  0.000
Pm  0.406  0.043  0.000
Pm  0.594  0.957  0.000
Pm  0.632  0.368  0.000
Pm  0.708  0.708  0.000
Pm  0.840  0.160  0.000
Pm  0.957  0.594  0.000
Dy  0.242  0.445  0.500
Dy  0.445  0.242  0.500
Dy  0.555  0.758  0.500
Dy  0.758  0.555  0.500
Ho  0.068  0.214  0.500
Ho  0.165  0.631  0.500
Ho  0.214  0.068  0.500
Ho  0.369  0.835  0.500
Ho  0.500  0.500  0.500
Ho  0.631  0.165  0.500
Ho  0.786  0.932  0.500
Ho  0.835  0.369  0.500
Ho  0.932  0.786  0.500


[8]
The following is a PBE calculation of crystalline PmDyHo6 at its relaxed geometry, from Alexandria via LeMat-Bulk.

Magnetic moment ... 0.000 μB per atom
Space-group type ... C2/m (12)
D(E_F) ... 1.85 states/eV/atom
Relative energy among the computed polymorphs ... 0 meV/atom

a = 16.186 Å, b = 5.656 Å, c = 5.986 Å
α = 90.00°, β = 111.53°, γ = 90.00°
Fractional positions:
Pm  0.000  0.000  0.000
Pm  0.500  0.500  0.000
Dy  0.000  0.500  0.500
Dy  0.500  0.000  0.500
Ho  0.133  0.000  0.573
Ho  0.135  0.500  0.197
Ho  0.249  0.500  0.819
Ho  0.251  0.000  0.181
Ho  0.365  0.000  0.803
Ho  0.367  0.500  0.427
Ho  0.633  0.500  0.573
Ho  0.635  0.000  0.197
Ho  0.749  0.000  0.819
Ho  0.751  0.500  0.181
Ho  0.865  0.500  0.803
Ho  0.867  0.000  0.427